A plane-wave DFT calculation with PBE was carried out for a relaxed structure of Ce4PmTh3N8.

ΔE_f (raw): -1.5331 eV/atom
Final energy: -8.8674 eV per atom
Crystal system: trigonal
Calculated volume: 16.7 A^3/atom

Lattice parameters (Å, degrees): 7.2267 7.2267 7.2267 60.05 60.05 60.05
With the nearest neighbours (Å) after each atom.
Fractional positions:
Ce (0.0000, 0.0000, 0.0000)  6 N 2.52
Ce (0.0000, 0.5000, 0.5000)  6 N 2.55
Ce (0.5000, 0.0000, 0.5000)  6 N 2.55
Ce (0.5000, 0.5000, 0.0000)  6 N 2.55
Pm (0.5000, 0.5000, 0.5000)  6 N 2.59
Th (0.0000, 0.0000, 0.5000)  6 N 2.56
Th (0.0000, 0.5000, 0.0000)  6 N 2.56
Th (0.5000, 0.0000, 0.0000)  6 N 2.56
N (0.2463, 0.2463, 0.7530)  3 Ce 2.52-2.55, 2 Th 2.56, 1 Pm 2.59
N (0.2463, 0.7530, 0.2463)  3 Ce 2.52-2.55, 2 Th 2.56, 1 Pm 2.59
N (0.2470, 0.7537, 0.7537)  3 Ce 2.52-2.55, 2 Th 2.56, 1 Pm 2.59
N (0.2504, 0.2504, 0.2504)  3 Ce 2.55, 3 Th 2.56
N (0.7496, 0.7496, 0.7496)  3 Ce 2.55, 3 Th 2.56
N (0.7530, 0.2463, 0.2463)  3 Ce 2.52-2.55, 2 Th 2.56, 1 Pm 2.59
N (0.7537, 0.2470, 0.7537)  3 Ce 2.52-2.55, 2 Th 2.56, 1 Pm 2.59
N (0.7537, 0.7537, 0.2470)  3 Ce 2.52-2.55, 2 Th 2.56, 1 Pm 2.59

=====

A plane-wave DFT calculation with PBE was carried out for a relaxed structure of CePm2Th3N6.

ΔE_f (raw): -1.5409 eV/atom
Final energy: -8.8448 eV per atom
Crystal system: monoclinic
Calculated volume: 17.0 A^3/atom

Lattice parameters (Å, degrees): 6.3072 6.3072 6.2795 99.61 99.61 120.03
With the nearest neighbours (Å) after each atom.
Fractional positions:
Ce (0.0000, 0.0000, 0.0000)  6 N 2.56
Pm (0.3333, 0.6667, 0.0000)  6 N 2.61-2.62
Pm (0.6667, 0.3333, 0.0000)  6 N 2.61-2.62
Th (0.1670, 0.8330, 0.5000)  6 N 2.53-2.58
Th (0.5000, 0.5000, 0.5000)  6 N 2.53-2.58
Th (0.8330, 0.1670, 0.5000)  6 N 2.53-2.58
N (0.0858, 0.4116, 0.2570)  3 Th 2.53-2.58, 1 Ce 2.56, 2 Pm 2.61-2.62
N (0.2403, 0.2403, 0.7421)  3 Th 2.53-2.58, 1 Ce 2.56, 2 Pm 2.62
N (0.4116, 0.0858, 0.2570)  3 Th 2.53-2.58, 1 Ce 2.56, 2 Pm 2.61-2.62
N (0.5884, 0.9142, 0.7430)  3 Th 2.53-2.58, 1 Ce 2.56, 2 Pm 2.61-2.62
N (0.7597, 0.7597, 0.2579)  3 Th 2.53-2.58, 1 Ce 2.56, 2 Pm 2.62
N (0.9142, 0.5884, 0.7430)  3 Th 2.53-2.58, 1 Ce 2.56, 2 Pm 2.61-2.62

=====

A plane-wave DFT calculation with PBE was carried out for a relaxed structure of Ce2PmTh3N6.

ΔE_f (raw): -1.5419 eV/atom
Final energy: -8.9445 eV per atom
Crystal system: monoclinic
Calculated volume: 16.9 A^3/atom

Lattice parameters (Å, degrees): 6.2925 6.2925 6.2699 99.60 99.60 120.01
With the nearest neighbours (Å) after each atom.
Fractional positions:
Ce (0.1666, 0.8334, 0.0000)  6 N 2.56
Ce (0.8334, 0.1666, 0.0000)  6 N 2.56
Pm (0.5000, 0.5000, 0.0000)  6 N 2.60-2.61
Th (0.0000, 0.0000, 0.5000)  6 N 2.53-2.57
Th (0.3335, 0.6665, 0.5000)  6 N 2.53-2.57
Th (0.6665, 0.3335, 0.5000)  6 N 2.53-2.57
N (0.0765, 0.4157, 0.7476)  3 Th 2.53-2.57, 2 Ce 2.56, 1 Pm 2.61
N (0.2449, 0.2449, 0.2521)  3 Th 2.53-2.57, 2 Ce 2.56, 1 Pm 2.60
N (0.4157, 0.0765, 0.7476)  3 Th 2.53-2.57, 2 Ce 2.56, 1 Pm 2.61
N (0.5843, 0.9235, 0.2524)  3 Th 2.53-2.57, 2 Ce 2.56, 1 Pm 2.61
N (0.7551, 0.7551, 0.7479)  3 Th 2.53-2.57, 2 Ce 2.56, 1 Pm 2.60
N (0.9235, 0.5843, 0.2524)  3 Th 2.53-2.57, 2 Ce 2.56, 1 Pm 2.61

=====

A plane-wave DFT calculation with PBE was carried out for a relaxed structure of CePmTiN3.

ΔE_f (raw): -1.2876 eV/atom
Final energy: -8.5468 eV per atom
Crystal system: monoclinic
Calculated volume: 16.9 A^3/atom

Lattice parameters (Å, degrees): 7.3199 3.5773 7.7604 90.00 95.35 90.00
With the nearest neighbours (Å) after each atom.
Fractional positions:
Ce (0.1268, 0.2500, 0.1705)  3 N 2.27-2.47
Ce (0.8732, 0.7500, 0.8295)  3 N 2.27-2.47
Pm (0.3450, 0.7500, 0.8430)  5 N 2.39-2.64
Pm (0.6550, 0.2500, 0.1570)  5 N 2.39-2.64
Ti (0.3977, 0.7500, 0.4046)  4 N 1.96-2.04
Ti (0.6023, 0.2500, 0.5954)  4 N 1.96-2.04
N (0.1051, 0.2500, 0.8772)  3 Ce 2.27-2.47, 2 Pm 2.54
N (0.3368, 0.2500, 0.4904)  3 Ti 1.97-2.04
N (0.3894, 0.7500, 0.1518)  1 Ti 1.96
N (0.6106, 0.2500, 0.8482)  1 Ti 1.96
N (0.6632, 0.7500, 0.5096)  3 Ti 1.97-2.04
N (0.8949, 0.7500, 0.1228)  3 Ce 2.27-2.47, 2 Pm 2.54

=====

A plane-wave DFT calculation with PBE was carried out for a relaxed structure of Ce3Pm4TiN8.

ΔE_f (raw): -1.4265 eV/atom
Final energy: -8.3829 eV per atom
Crystal system: trigonal
Calculated volume: 15.4 A^3/atom

Lattice parameters (Å, degrees): 7.0446 7.0446 7.0446 59.84 59.84 59.84
With the nearest neighbours (Å) after each atom.
Fractional positions:
Ce (0.0000, 0.5000, 0.5000)  6 N 2.45
Ce (0.5000, 0.0000, 0.5000)  6 N 2.45
Ce (0.5000, 0.5000, 0.0000)  6 N 2.45
Pm (0.0000, 0.0000, 0.5000)  6 N 2.53
Pm (0.0000, 0.5000, 0.0000)  6 N 2.53
Pm (0.5000, 0.0000, 0.0000)  6 N 2.53
Pm (0.5000, 0.5000, 0.5000)  6 N 2.66
Ti (0.0000, 0.0000, 0.0000)  6 N 2.32
N (0.2329, 0.2329, 0.7591)  1 Ti 2.32, 2 Ce 2.45, 2 Pm 2.53
N (0.2329, 0.7591, 0.2329)  1 Ti 2.32, 2 Ce 2.45, 2 Pm 2.53
N (0.2409, 0.7671, 0.7671)  1 Ti 2.32, 2 Ce 2.45, 2 Pm 2.53
N (0.2539, 0.2539, 0.2539)  3 Ce 2.45, 3 Pm 2.53
N (0.7461, 0.7461, 0.7461)  3 Ce 2.45, 3 Pm 2.53
N (0.7591, 0.2329, 0.2329)  1 Ti 2.32, 2 Ce 2.45, 2 Pm 2.53
N (0.7671, 0.2409, 0.7671)  1 Ti 2.32, 2 Ce 2.45, 2 Pm 2.53
N (0.7671, 0.7671, 0.2409)  1 Ti 2.32, 2 Ce 2.45, 2 Pm 2.53

=====

A plane-wave DFT calculation with PBE was carried out for a relaxed structure of Ce2PmTlN.

ΔE_f (raw): -0.7778 eV/atom
Final energy: -6.2398 eV per atom
Crystal system: tetragonal
Calculated volume: 24.3 A^3/atom

Lattice parameters (Å, degrees): 4.8925 4.8925 5.0767 90.00 90.00 90.00
With the nearest neighbours (Å) after each atom.
Fractional positions:
Ce (0.0000, 0.5000, 0.0000)  2 N 2.45
Ce (0.5000, 0.0000, 0.0000)  2 N 2.45
Pm (0.0000, 0.0000, 0.5000)  2 N 2.54
Tl (0.5000, 0.5000, 0.5000)  4 Pm 3.46, 8 Ce 3.53
N (0.0000, 0.0000, 0.0000)  4 Ce 2.45, 2 Pm 2.54

=====

A plane-wave DFT calculation with PBE was carried out for a relaxed structure of Ce4PmU3N8.

ΔE_f (raw): -1.4481 eV/atom
Final energy: -9.5077 eV per atom
Crystal system: trigonal
Calculated volume: 15.4 A^3/atom

Lattice parameters (Å, degrees): 7.0486 7.0486 7.0486 59.71 59.71 59.71
With the nearest neighbours (Å) after each atom.
Fractional positions:
Ce (0.0000, 0.0000, 0.0000)  6 N 2.48
Ce (0.0000, 0.5000, 0.5000)  6 N 2.59-2.63
Ce (0.5000, 0.0000, 0.5000)  6 N 2.59-2.63
Ce (0.5000, 0.5000, 0.0000)  6 N 2.59-2.63
Pm (0.5000, 0.5000, 0.5000)  6 N 2.51
U (0.0000, 0.0000, 0.5000)  6 N 2.35-2.39
U (0.0000, 0.5000, 0.0000)  6 N 2.35-2.39
U (0.5000, 0.0000, 0.0000)  6 N 2.35-2.39
N (0.2208, 0.7518, 0.7518)  2 U 2.35, 3 Ce 2.48-2.63, 1 Pm 2.51
N (0.2400, 0.2400, 0.2400)  3 U 2.39, 3 Ce 2.59
N (0.2482, 0.2482, 0.7792)  2 U 2.35, 3 Ce 2.48-2.63, 1 Pm 2.51
N (0.2482, 0.7792, 0.2482)  2 U 2.35, 3 Ce 2.48-2.63, 1 Pm 2.51
N (0.7518, 0.2208, 0.7518)  2 U 2.35, 3 Ce 2.48-2.63, 1 Pm 2.51
N (0.7518, 0.7518, 0.2208)  2 U 2.35, 3 Ce 2.48-2.63, 1 Pm 2.51
N (0.7600, 0.7600, 0.7600)  3 U 2.39, 3 Ce 2.59
N (0.7792, 0.2482, 0.2482)  2 U 2.35, 3 Ce 2.48-2.63, 1 Pm 2.51

=====

A plane-wave DFT calculation with PBE was carried out for a relaxed structure of Ce2PmUN4.

ΔE_f (raw): -1.4395 eV/atom
Final energy: -9.0905 eV per atom
Crystal system: tetragonal
Calculated volume: 15.7 A^3/atom

Lattice parameters (Å, degrees): 5.0187 5.0187 9.9873 90.00 90.00 90.00
With the nearest neighbours (Å) after each atom.
Fractional positions:
Ce (0.0000, 0.0000, 0.0000)  6 N 2.51-2.73
Ce (0.0000, 0.5000, 0.2500)  6 N 2.46-2.52
Ce (0.5000, 0.0000, 0.7500)  6 N 2.46-2.52
Ce (0.5000, 0.5000, 0.5000)  6 N 2.51-2.73
Pm (0.0000, 0.5000, 0.7500)  6 N 2.52-2.53
Pm (0.5000, 0.0000, 0.2500)  6 N 2.52-2.53
U (0.0000, 0.0000, 0.5000)  6 N 2.26-2.51
U (0.5000, 0.5000, 0.0000)  6 N 2.26-2.51
N (0.0000, 0.0000, 0.2738)  1 U 2.26, 2 Ce 2.52, 2 Pm 2.52
N (0.0000, 0.0000, 0.7262)  1 U 2.26, 2 Ce 2.52, 2 Pm 2.52
N (0.0000, 0.5000, 0.0036)  3 Ce 2.46-2.51, 2 U 2.51, 1 Pm 2.53
N (0.0000, 0.5000, 0.4964)  3 Ce 2.46-2.51, 2 U 2.51, 1 Pm 2.53
N (0.5000, 0.0000, 0.5036)  3 Ce 2.46-2.51, 2 U 2.51, 1 Pm 2.53
N (0.5000, 0.0000, 0.9964)  3 Ce 2.46-2.51, 2 U 2.51, 1 Pm 2.53
N (0.5000, 0.5000, 0.2262)  1 U 2.26, 2 Ce 2.52, 2 Pm 2.52
N (0.5000, 0.5000, 0.7738)  1 U 2.26, 2 Ce 2.52, 2 Pm 2.52

=====

A plane-wave DFT calculation with PBE was carried out for a relaxed structure of CePm2UN4.

ΔE_f (raw): -1.4719 eV/atom
Final energy: -8.9750 eV per atom
Crystal system: monoclinic
Calculated volume: 15.7 A^3/atom

Lattice parameters (Å, degrees): 6.1235 3.5476 6.1380 90.00 109.20 90.00
With the nearest neighbours (Å) after each atom.
Fractional positions:
Ce (0.0000, 0.0000, 0.0000)  6 N 2.48-2.49
Pm (0.5000, 0.0000, 0.5000)  6 N 2.53-2.55
Pm (0.5000, 0.5000, 0.0000)  6 N 2.67-2.72
U (0.0000, 0.5000, 0.5000)  6 N 2.28-2.36
N (0.2169, 0.0000, 0.7219)  2 U 2.36, 1 Ce 2.48, 1 Pm 2.53
N (0.2216, 0.5000, 0.2661)  1 U 2.28, 2 Ce 2.49
N (0.7784, 0.5000, 0.7339)  1 U 2.28, 2 Ce 2.49
N (0.7831, 0.0000, 0.2781)  2 U 2.36, 1 Ce 2.48, 1 Pm 2.53

=====

A plane-wave DFT calculation with PBE was carried out for a relaxed structure of Ce3Pm2UN6.

ΔE_f (raw): -1.4902 eV/atom
Final energy: -8.8688 eV per atom
Crystal system: monoclinic
Calculated volume: 15.8 A^3/atom

Lattice parameters (Å, degrees): 6.1403 6.1403 6.1677 99.58 99.58 119.90
With the nearest neighbours (Å) after each atom.
Fractional positions:
Ce (0.0000, 0.0000, 0.0000)  6 N 2.48-2.70
Ce (0.3318, 0.6682, 0.0000)  6 N 2.48-2.71
Ce (0.6682, 0.3318, 0.0000)  6 N 2.48-2.71
Pm (0.1665, 0.8335, 0.5000)  6 N 2.56-2.57
Pm (0.8335, 0.1665, 0.5000)  6 N 2.56-2.57
U (0.5000, 0.5000, 0.5000)  6 N 2.30-2.33
N (0.1200, 0.4206, 0.2633)  1 U 2.30, 2 Ce 2.48-2.49, 2 Pm 2.56
N (0.2783, 0.2783, 0.7422)  1 U 2.33, 2 Ce 2.48, 2 Pm 2.57
N (0.4206, 0.1200, 0.2633)  1 U 2.30, 2 Ce 2.48-2.49, 2 Pm 2.56
N (0.5794, 0.8800, 0.7367)  1 U 2.30, 2 Ce 2.48-2.49, 2 Pm 2.56
N (0.7217, 0.7217, 0.2578)  1 U 2.33, 2 Ce 2.48, 2 Pm 2.57
N (0.8800, 0.5794, 0.7367)  1 U 2.30, 2 Ce 2.48-2.49, 2 Pm 2.56

=====

A plane-wave DFT calculation with PBE was carried out for a relaxed structure of CePm2VN4.

ΔE_f (raw): -1.2094 eV/atom
Final energy: -8.4413 eV per atom
Crystal system: orthorhombic
Calculated volume: 15.5 A^3/atom

Lattice parameters (Å, degrees): 6.1700 6.1700 12.1549 90.00 90.00 147.64
With the nearest neighbours (Å) after each atom.
Fractional positions:
Ce (0.0868, 0.9132, 0.7500)  6 N 2.59-2.80
Ce (0.9132, 0.0868, 0.2500)  6 N 2.59-2.80
Pm (0.3689, 0.6311, 0.5428)  6 N 2.38-2.62
Pm (0.3689, 0.6311, 0.9572)  6 N 2.38-2.62
Pm (0.6311, 0.3689, 0.0428)  6 N 2.38-2.62
Pm (0.6311, 0.3689, 0.4572)  6 N 2.38-2.62
V (0.1755, 0.8245, 0.2500)  2 N 1.80
V (0.8245, 0.1755, 0.7500)  2 N 1.80
N (0.0000, 0.0000, 0.0000)  4 Pm 2.38
N (0.0000, 0.0000, 0.5000)  4 Pm 2.38
N (0.2698, 0.7302, 0.1338)  1 V 1.80
N (0.2698, 0.7302, 0.3662)  1 V 1.80
N (0.4238, 0.5762, 0.7500)  2 V 2.08
N (0.5762, 0.4238, 0.2500)  2 V 2.08
N (0.7302, 0.2698, 0.6338)  1 V 1.80
N (0.7302, 0.2698, 0.8662)  1 V 1.80

=====

A plane-wave DFT calculation with PBE was carried out for a relaxed structure of Ce2PmVN4.

ΔE_f (raw): -1.2325 eV/atom
Final energy: -8.6123 eV per atom
Crystal system: orthorhombic
Calculated volume: 15.2 A^3/atom

Lattice parameters (Å, degrees): 6.0998 6.0998 12.0756 90.00 90.00 147.23
With the nearest neighbours (Å) after each atom.
Fractional positions:
Ce (0.1335, 0.8665, 0.5446)  6 N 2.39-2.59
Ce (0.1335, 0.8665, 0.9554)  6 N 2.39-2.59
Ce (0.8665, 0.1335, 0.0446)  6 N 2.39-2.59
Ce (0.8665, 0.1335, 0.4554)  6 N 2.39-2.59
Pm (0.3971, 0.6029, 0.7500)  6 N 2.66-2.69
Pm (0.6029, 0.3971, 0.2500)  6 N 2.66-2.69
V (0.3370, 0.6630, 0.2500)  4 N 1.88-2.03
V (0.6630, 0.3370, 0.7500)  4 N 1.88-2.03
N (0.0708, 0.9292, 0.7500)  2 V 2.03
N (0.2315, 0.7685, 0.1330)  1 V 1.88
N (0.2315, 0.7685, 0.3670)  1 V 1.88
N (0.5000, 0.5000, 0.0000)  4 Ce 2.39
N (0.5000, 0.5000, 0.5000)  4 Ce 2.39
N (0.7685, 0.2315, 0.6330)  1 V 1.88
N (0.7685, 0.2315, 0.8670)  1 V 1.88
N (0.9292, 0.0708, 0.2500)  2 V 2.03